# Li7Mn2Co3O12

A geometry-optimized Li7Mn2Co3O12 structure (PBE with a Hubbard U, Alexandria).

Output
Uncorrected energy: -5.849 eV/atom
Calculated volume: 8.841 Å³ per atom

a b c (Å): 7.7604 7.7604 9.7795
angles (deg): 80.00 80.00 21.47
With the nearest neighbours (Å) after each atom.
Sites, in units of the cell vectors:
Li (0.5819, 0.5819, 0.7450)  6 O 2.06-2.23
Li (0.7605, 0.7605, 0.2392)  6 O 2.08-2.24
Li (0.9044, 0.9044, 0.7598)  5 O 2.05-2.21
Li (0.2515, 0.2515, 0.7625)  4 O 1.97-2.15
Li (0.4146, 0.4146, 0.2478)  6 O 2.04-2.20
Li (0.0814, 0.0814, 0.2505)  6 O 2.06-2.19
Li (0.3301, 0.3301, 0.0022)  6 O 2.09-2.16
Mn (0.9950, 0.9950, 0.0017)  5 O 1.83-1.98
Mn (0.1693, 0.1693, 0.4953)  6 O 1.93-1.95
Co (0.4990, 0.4990, 0.5006)  6 O 2.02-2.20
Co (0.6687, 0.6687, 0.9989)  5 O 1.79-1.96
Co (0.8393, 0.8393, 0.5034)  6 O 2.00-2.12
O (0.4649, 0.4649, 0.8866)  2 Mn 1.94, 2 Li 2.06-2.16
O (0.6356, 0.6356, 0.3814)  2 Mn 1.95, 1 Li 2.15
O (0.7753, 0.7753, 0.8881)  1 Co 1.79, 2 Li 1.97
O (0.1234, 0.1234, 0.8951)  2 Co 1.96, 1 Mn 2.05, 1 Li 2.15
O (0.2897, 0.2897, 0.3864)  1 Mn 1.95, 2 Co 2.07, 3 Li 2.13-2.14
O (0.9590, 0.9590, 0.3815)  3 Co 2.00-2.02, 3 Li 2.07-2.14
O (0.7047, 0.7047, 0.6074)  2 Mn 1.95, 1 Li 2.10, 1 Co 2.12
O (0.8861, 0.8861, 0.1151)  1 Mn 1.83, 2 Li 2.04
O (0.0524, 0.0524, 0.6089)  1 Mn 1.93, 2 Co 2.04, 2 Li 2.07
O (0.3713, 0.3713, 0.6286)  3 Co 2.01-2.12, 3 Li 2.05
O (0.5435, 0.5435, 0.1053)  2 Mn 1.98, 1 Co 2.01, 3 Li 2.17-2.20
O (0.1986, 0.1986, 0.1091)  2 Co 1.91, 2 Li 2.06-2.09